A relaxed K2GaCuCl6 crystal. Source: Alexandria via LeMat-Bulk, functional GGA-PBE.

Computed properties:
Formation energy from raw total energies: -122 kJ per mole of atoms
Electronic total energy: -33.05 eV for the cell shown

Structure (CIF):
```
data_K2GaCuCl6
_chemical_formula_sum 'K2 Ga1 Cu1 Cl6'
_cell_length_a 7.0112
_cell_length_b 7.0112
_cell_length_c 6.2059
_cell_angle_alpha 90.00
_cell_angle_beta 90.00
_cell_angle_gamma 120.00
_symmetry_space_group_name_H-M 'P -3 m 1'
_symmetry_Int_Tables_number 164
_symmetry_space_group_name_Hall '-P 3 2"'
loop_
_atom_site_label
_atom_site_type_symbol
_atom_site_fract_x
_atom_site_fract_y
_atom_site_fract_z
K1 K 0.3333 0.6667 0.2992
Ga1 Ga 0.0000 0.0000 0.5000
Cu1 Cu 0.0000 0.0000 0.0000
Cl1 Cl 0.1591 0.3182 0.7292
```